Compound: NpAl4Ag8
Source: the Alexandria database
Functional: PBE
Structure: optimized geometry

- symmetry = I4/mmm
- DFT total energy (eV/atom) = -3.93

Cell: 7.147 7.147 7.147 Å, 98.19 98.19 135.65°
Positions (direct):
Np  0.000  0.000  0.000
Al  0.000  0.000  0.500
Al  0.000  0.500  0.000
Al  0.500  0.000  0.000
Al  0.500  0.500  0.500
Ag  0.000  0.343  0.343
Ag  0.000  0.657  0.657
Ag  0.283  0.500  0.783
Ag  0.343  0.000  0.343
Ag  0.500  0.283  0.783
Ag  0.500  0.717  0.217
Ag  0.657  0.000  0.657
Ag  0.717  0.500  0.217